VASP calculation (GGA+U) on a geometry-optimized ScMnBi2O6 structure.

Properties
Energy above the lowest structure with this stoichiometry, meV per atom: 0
Spin magnetization, μB/f.u.: 4.00

Cell lengths 5.672, 5.672, 9.923 Å; angles 105.06, 105.06, 62.17 degrees
Atoms (fractional coordinates):
Sc (0.219, 0.781, 0.750)
Sc (0.781, 0.219, 0.250)
Mn (0.000, 0.500, 0.000)
Mn (0.500, 0.000, 0.500)
Bi (0.080, 0.649, 0.379)
Bi (0.351, 0.920, 0.121)
Bi (0.649, 0.080, 0.879)
Bi (0.920, 0.351, 0.621)
O (0.075, 0.741, 0.917)
O (0.092, 0.216, 0.836)
O (0.216, 0.092, 0.336)
O (0.259, 0.925, 0.583)
O (0.270, 0.421, 0.618)
O (0.421, 0.270, 0.118)
O (0.579, 0.730, 0.882)
O (0.730, 0.579, 0.382)
O (0.741, 0.075, 0.417)
O (0.784, 0.908, 0.664)
O (0.908, 0.784, 0.164)
O (0.925, 0.259, 0.083)


VASP calculation (GGA+U) on a geometry-optimized ScMn3Bi4O12 structure.

Properties
Spin magnetization, μB/f.u.: 12.00
Final energy, eV per atom: -6.814

Cell lengths 5.650, 5.650, 9.954 Å; angles 106.49, 106.49, 61.57 degrees
Atoms (fractional coordinates):
Sc (0.000, 0.000, 0.000)
Mn (0.274, 0.214, 0.751)
Mn (0.577, 0.423, 0.500)
Mn (0.786, 0.726, 0.249)
Bi (0.140, 0.144, 0.375)
Bi (0.429, 0.309, 0.133)
Bi (0.691, 0.571, 0.867)
Bi (0.856, 0.860, 0.625)
O (0.035, 0.134, 0.829)
O (0.050, 0.633, 0.868)
O (0.218, 0.500, 0.375)
O (0.367, 0.950, 0.132)
O (0.500, 0.782, 0.625)
O (0.507, 0.282, 0.667)
O (0.565, 0.117, 0.916)
O (0.686, 0.022, 0.415)
O (0.718, 0.493, 0.333)
O (0.866, 0.965, 0.171)
O (0.883, 0.435, 0.084)
O (0.978, 0.314, 0.585)


VASP calculation (GGA+U) on a geometry-optimized SmMnBi2O6 structure.

Properties
Spin magnetization, μB/f.u.: 3.98
Final energy, eV per atom: -6.775

Cell lengths 5.648, 5.930, 6.131 Å; angles 61.81, 62.80, 89.96 degrees
Atoms (fractional coordinates):
Sm (0.000, 0.000, 0.000)
Mn (0.542, 0.544, 0.944)
Bi (0.231, 0.650, 0.568)
Bi (0.707, 0.166, 0.555)
O (0.221, 0.369, 0.975)
O (0.368, 0.314, 0.485)
O (0.368, 0.830, 0.982)
O (0.665, 0.842, 0.463)
O (0.784, 0.331, 0.833)
O (0.868, 0.774, 0.846)


VASP calculation (GGA+U) on a geometry-optimized SmMn2BiO8 structure.

Properties
Spin magnetization, μB/f.u.: 4.00
Final energy, eV per atom: -6.680

Cell lengths 5.741, 5.741, 6.897 Å; angles 90.00, 90.00, 120.00 degrees
Atoms (fractional coordinates):
Sm (0.000, 0.000, 0.000)
Mn (0.333, 0.667, 0.316)
Mn (0.667, 0.333, 0.684)
Bi (0.000, 0.000, 0.500)
O (0.166, 0.331, 0.239)
O (0.166, 0.834, 0.239)
O (0.331, 0.166, 0.761)
O (0.333, 0.667, 0.553)
O (0.667, 0.333, 0.447)
O (0.669, 0.834, 0.239)
O (0.834, 0.166, 0.761)
O (0.834, 0.669, 0.761)


VASP calculation (GGA+U) on a geometry-optimized Mn2SnBiO6 structure.

Properties
Spin magnetization, μB/f.u.: 9.00
Final energy, eV per atom: -6.758

Cell lengths 5.401, 5.494, 5.866 Å; angles 62.33, 64.43, 61.81 degrees
Atoms (fractional coordinates):
Mn (0.000, 0.000, 0.000)
Mn (0.491, 0.476, 0.548)
Sn (0.792, 0.790, 0.628)
Bi (0.271, 0.278, 0.179)
O (0.068, 0.695, 0.838)
O (0.200, 0.615, 0.353)
O (0.407, 0.093, 0.795)
O (0.611, 0.820, 0.353)
O (0.700, 0.399, 0.805)
O (0.849, 0.184, 0.331)


VASP calculation (GGA+U) on a geometry-optimized MnSnBiO6 structure.

Properties
DOS at the Fermi energy, states/eV/f.u.: 0.86
Spin magnetization, μB/f.u.: 3.99
Final energy, eV per atom: -6.276

Cell lengths 4.919, 4.919, 9.561 Å; angles 90.00, 90.00, 90.00 degrees
Atoms (fractional coordinates):
Mn (0.000, 0.000, 0.000)
Mn (0.500, 0.500, 0.500)
Sn (0.000, 0.000, 0.333)
Sn (0.500, 0.500, 0.833)
Bi (0.000, 0.000, 0.665)
Bi (0.500, 0.500, 0.165)
O (0.183, 0.183, 0.161)
O (0.190, 0.190, 0.842)
O (0.196, 0.196, 0.496)
O (0.304, 0.696, 0.996)
O (0.310, 0.690, 0.342)
O (0.317, 0.683, 0.661)
O (0.683, 0.317, 0.661)
O (0.690, 0.310, 0.342)
O (0.696, 0.304, 0.996)
O (0.804, 0.804, 0.496)
O (0.810, 0.810, 0.842)
O (0.817, 0.817, 0.161)


VASP calculation (GGA+U) on a geometry-optimized MnSnBi2O6 structure.

Properties
DOS at the Fermi energy, states/eV/f.u.: 0.00
Spin magnetization, μB/f.u.: 5.00
Final energy, eV per atom: -6.337

Cell lengths 5.939, 5.939, 5.939 Å; angles 58.73, 58.73, 58.73 degrees
Atoms (fractional coordinates):
Mn (0.000, 0.000, 0.000)
Sn (0.492, 0.492, 0.492)
Bi (0.279, 0.279, 0.279)
Bi (0.780, 0.780, 0.780)
O (0.148, 0.688, 0.343)
O (0.208, 0.643, 0.822)
O (0.343, 0.148, 0.688)
O (0.643, 0.822, 0.208)
O (0.688, 0.343, 0.148)
O (0.822, 0.208, 0.643)


VASP calculation (GGA+U) on a geometry-optimized Sr2Mn3Bi2O2 structure.

Properties
DOS at the Fermi energy, states/eV/f.u.: 2.44
Spin magnetization, μB/f.u.: 14.55
Final energy, eV per atom: -5.868

Cell lengths 11.033, 11.033, 11.033 Å; angles 157.13, 157.13, 32.56 degrees
Atoms (fractional coordinates):
Sr (0.076, 0.076, 0.000)
Sr (0.924, 0.924, 0.000)
Mn (0.250, 0.750, 0.500)
Mn (0.500, 0.500, 0.000)
Mn (0.750, 0.250, 0.500)
Bi (0.341, 0.341, 0.000)
Bi (0.659, 0.659, 0.000)
O (0.000, 0.500, 0.500)
O (0.500, 0.000, 0.500)